Computed, not measured: a geometry-optimized RbNdMnSe4 structure at the PBE level of DFT.

Unit cell a=6.776 b=6.687 c=9.690 alpha=90.00 beta=108.76 gamma=90.00
Space group P2_1/m (No. 11)
Inequivalent atoms, fractional coordinates:
Rb (0.234, 0.250, 0.437) [2 per cell]
Nd (0.266, 0.250, 0.952) [2 per cell]
Mn (0.286, 0.750, 0.178) [2 per cell]
Se (0.088, 0.750, 0.332) [2 per cell]
Se (0.103, 0.750, 0.931) [2 per cell]
Se (0.474, 0.510, 0.784) [4 per cell]

mass density	4797	kg/m³
Fermi-level density of states	6.21	states/eV/cell

---

Computed, not measured: a geometry-optimized Nd2MnSb4Rh3 structure at the PBE level of DFT.

Unit cell a=4.517 b=4.517 c=10.744 alpha=90.00 beta=90.00 gamma=90.00
Space group P-4m2 (No. 115)
Inequivalent atoms, fractional coordinates:
Nd (0.000, 0.500, 0.249) [2 per cell]
Mn (0.500, 0.500, 0.000) [1 per cell]
Sb (0.000, 0.000, 0.500) [1 per cell]
Sb (0.000, 0.500, 0.865) [2 per cell]
Sb (0.500, 0.500, 0.500) [1 per cell]
Rh (0.000, 0.000, 0.000) [1 per cell]
Rh (0.000, 0.500, 0.624) [2 per cell]

mass density	8629	kg/m³
Fermi-level density of states	4.64	states/eV/cell

---

Computed, not measured: a geometry-optimized Nd2MnSiRh6 structure at the PBE level of DFT.

Unit cell a=10.747 b=6.214 c=6.714 alpha=90.00 beta=122.11 gamma=90.00
Space group C2/m (No. 12)
Inequivalent atoms, fractional coordinates:
Nd (0.228, 0.000, 0.184) [4 per cell]
Mn (0.000, 0.500, 0.000) [2 per cell]
Si (0.000, 0.000, 0.500) [2 per cell]
Rh (0.035, 0.282, 0.321) [8 per cell]
Rh (0.248, 0.000, 0.680) [4 per cell]

mass density	8648	kg/m³
Fermi-level density of states	15.98	states/eV/cell

---

Computed, not measured: a geometry-optimized NdMnSi2Rh structure at the PBE level of DFT.

Unit cell a=4.060 b=4.060 c=10.320 alpha=90.00 beta=90.00 gamma=90.00
Space group I-4m2 (No. 119)
Inequivalent atoms, fractional coordinates:
Nd (0.000, 0.000, 0.000) [2 per cell]
Mn (0.000, 0.500, 0.250) [2 per cell]
Si (0.000, 0.000, 0.379) [4 per cell]
Rh (0.000, 0.500, 0.750) [2 per cell]

mass density	6995	kg/m³
Fermi-level density of states	7.11	states/eV/cell

---

Number 1: VASP energy -5.23 eV per atom, formation energy without anion corrections -1105.8 meV/atom. Number 2: VASP energy -6.42 eV per atom, formation energy without anion corrections -696.2 meV/atom. Number 3: VASP energy -7.19 eV per atom, formation energy without anion corrections -362.2 meV/atom. Number 4: VASP energy -7.24 eV per atom, formation energy without anion corrections -810.3 meV/atom.